No. 1
Here is ScTiNi14 after structural relaxation from Alexandria via LeMat-Bulk. Energies are from PBE-GGA.

abc: 5.0844 5.0844 7.1709
angles: 90.00 90.00 90.00
With the nearest neighbours (Å) after each atom.
Space group P4/mmm (No. 123)
Inequivalent atoms, fractional coordinates:
Sc 0.0000 0.0000 0.0000 (multiplicity 1)  12 Ni 2.54-2.61
Ti 0.5000 0.5000 0.0000 (multiplicity 1)  12 Ni 2.54-2.57
Ni 0.0000 0.0000 0.5000 (multiplicity 1)  12 Ni 2.51-2.54
Ni 0.0000 0.5000 0.0000 (multiplicity 2)  2 Sc 2.54, 2 Ti 2.54, 8 Ni 2.59
Ni 0.0000 0.5000 0.5000 (multiplicity 2)  12 Ni 2.49-2.54
Ni 0.2538 0.2538 0.2607 (multiplicity 8)  10 Ni 2.47-2.59, 1 Ti 2.57, 1 Sc 2.61
Ni 0.5000 0.5000 0.5000 (multiplicity 1)  12 Ni 2.47-2.54

* magnetization: 5.415 μB per cell
* calculated formation energy: -179 meV per atom
* raw total energy: -6.13 eV/atom

No. 2
Here is ScTi2Ni2 after structural relaxation from Alexandria via LeMat-Bulk. Energies are from PBE-GGA.

abc: 7.1661 7.1661 3.0161
angles: 90.00 90.00 90.00
With the nearest neighbours (Å) after each atom.
Space group P4/mbm (No. 127)
Inequivalent atoms, fractional coordinates:
Sc 0.0000 0.0000 0.0000 (multiplicity 2)  4 Ni 2.83, 2 Sc 3.02, 8 Ti 3.08
Ti 0.1630 0.3370 0.5000 (multiplicity 4)  6 Ni 2.58-2.61
Ni 0.1264 0.6264 0.0000 (multiplicity 4)  1 Ni 2.56, 6 Ti 2.58-2.61, 2 Sc 2.83

* magnetization: 0.000 μB per cell
* calculated formation energy: -295 meV per atom
* raw total energy: -7.03 eV/atom

No. 3
Here is Sc3TiNi after structural relaxation from Alexandria via LeMat-Bulk. Energies are from PBE-GGA.

abc: 4.8391 4.8391 4.8391
angles: 90.00 90.00 90.00
With the nearest neighbours (Å) after each atom.
Space group Pm-3m (No. 221)
Inequivalent atoms, fractional coordinates:
Sc 0.0000 0.0000 0.5000 (multiplicity 3)  2 Ti 2.42
Ti 0.0000 0.0000 0.0000 (multiplicity 1)  6 Sc 2.42
Ni 0.5000 0.5000 0.5000 (multiplicity 1)  12 Sc 3.42

* magnetization: 0.000 μB per cell
* calculated formation energy: 852 meV per atom
* raw total energy: -5.68 eV/atom